This record from Alexandria describes an optimized crystal structure of KTl2MoF6. The functional is GGA+U.

## Properties
* polymorph energy (0 for the lowest one): 0.00 eV per formula unit
* D(E_F): 0.00 states/eV/f.u.
* crystal system: monoclinic

a b c (Å): 6.4121 6.6380 9.2057
angles (deg): 90.00 90.07 90.00
With the nearest neighbours (Å) after each atom.
Fractional positions:
K1 0.5000 0.0000 0.0000  6 F 2.63-2.68
K2 0.0000 0.5000 0.5000  6 F 2.63-2.68
Tl1 0.0091 0.9614 0.2540  5 F 2.77-3.05
Tl2 0.5091 0.5386 0.7540  5 F 2.77-3.05
Tl3 0.9909 0.0386 0.7460  5 F 2.77-3.05
Tl4 0.4909 0.4614 0.2460  5 F 2.77-3.05
Mo1 0.5000 0.0000 0.5000  6 F 2.11-2.12
Mo2 0.0000 0.5000 0.0000  6 F 2.11-2.12
F1 0.2690 0.6765 0.0352  1 Mo 2.11
F2 0.7690 0.8235 0.5352  1 Mo 2.11
F3 0.7310 0.3235 0.9648  1 Mo 2.11
F4 0.2310 0.1765 0.4648  1 Mo 2.11
F5 0.3242 0.7419 0.4449  1 Mo 2.11
F6 0.8242 0.7581 0.9449  1 Mo 2.11
F7 0.6758 0.2581 0.5551  1 Mo 2.11
F8 0.1758 0.2419 0.0551  1 Mo 2.11
F9 0.9132 0.5400 0.2199  1 Mo 2.12
F10 0.4132 0.9600 0.7199  1 Mo 2.12
F11 0.0868 0.4600 0.7801  1 Mo 2.12
F12 0.5868 0.0400 0.2801  1 Mo 2.12